PmWIO4: relaxed, GGA+U.

The structure belongs to space group C2/m (No. 12); the cell edges are 11.136, 7.425 and 7.259 Å and the angles 90.00°, 106.31° and 90.00°. The distinct sites, in fractional coordinates, are Pm at (0.244, 0.000, 0.135), W at (0.134, 0.500, 0.262), I at (0.017, 0.000, 0.752), O at (0.035, 0.500, 0.802), O at (0.193, 0.311, 0.149) and O at (0.196, 0.500, 0.521).

For the uncorrected energy, the calculation gives -7.013 eV/atom. As for the magnetization: 0.00 μB per cell.